# 1
Below is a geometry-optimized TiNb2Hg structure, with properties calculated at the GGA-PBE level.

abc: 3.4502 3.4502 6.1873
angles: 90.00 90.00 90.00
Closest atoms and distances in Å follow each position.
Positions (direct):
Ti1 0.0000 0.0000 0.0000  8 Nb 2.83, 2 Hg 3.09
Nb1 0.5000 0.5000 0.2306  4 Ti 2.83, 1 Nb 2.85, 4 Hg 2.95
Nb2 0.5000 0.5000 0.7694  4 Ti 2.83, 1 Nb 2.85, 4 Hg 2.95
Hg1 0.0000 0.0000 0.5000  8 Nb 2.95, 2 Ti 3.09

Output
- DOS at the Fermi energy (states/eV/cell) = 5.3
- symmetry = P4/mmm, No. 123
- VASP energy (eV/cell) = -27.78
- magnetization (μB per atom) = 0.0000
- ρ (kg/m³) = 9791


# 2
Below is a geometry-optimized MgHg3Pb2 structure, with properties calculated at the GGA-PBE level.

abc: 8.4034 8.4034 7.2437
angles: 90.00 90.00 37.89
Closest atoms and distances in Å follow each position.
Positions (direct):
Mg1 0.0057 0.9943 0.7500  6 Hg 2.94-3.25
Mg2 0.9943 0.0057 0.2500  6 Hg 2.94-3.25
Hg1 0.1458 0.1458 0.0000  2 Mg 2.94
Hg2 0.1458 0.1458 0.5000  2 Mg 2.94
Hg3 0.5000 0.5000 0.0000  4 Mg 3.25-3.30, 4 Pb 3.33, 6 Hg 3.58-3.62
Hg4 0.5000 0.5000 0.5000  4 Mg 3.25-3.30, 4 Pb 3.33, 6 Hg 3.58-3.62
Hg5 0.8542 0.8542 0.0000  2 Mg 2.94
Hg6 0.8542 0.8542 0.5000  2 Mg 2.94
Pb1 0.3232 0.3247 0.2500  8 Hg 3.31-3.36, 4 Pb 3.60-3.62
Pb2 0.3247 0.3232 0.7500  8 Hg 3.31-3.36, 4 Pb 3.60-3.62
Pb3 0.6753 0.6768 0.2500  8 Hg 3.31-3.36, 4 Pb 3.60-3.62
Pb4 0.6768 0.6753 0.7500  8 Hg 3.31-3.36, 4 Pb 3.60-3.62

Output
- DOS at the Fermi energy (states/eV/cell) = 4.4
- symmetry = Cmcm, No. 63
- VASP energy (eV/cell) = -20.26
- magnetization (μB per atom) = 0.0000
- ρ (kg/m³) = 10999


# 3
Below is a geometry-optimized SmZr2In structure, with properties calculated at the GGA-PBE level.

abc: 4.6257 4.6257 4.5752
angles: 90.00 90.00 90.00
Closest atoms and distances in Å follow each position.
Positions (direct):
Sm1 0.0000 0.0000 0.0000  8 Zr 3.25, 4 In 3.27
Zr1 0.0000 0.5000 0.5000  4 In 3.25, 4 Sm 3.25, 4 Zr 3.27
Zr2 0.5000 0.0000 0.5000  4 In 3.25, 4 Sm 3.25, 4 Zr 3.27
In1 0.5000 0.5000 0.0000  8 Zr 3.25, 4 Sm 3.27

Output
- DOS at the Fermi energy (states/eV/cell) = 3.1
- symmetry = P4/mmm, No. 123
- VASP energy (eV/cell) = -25.18
- magnetization (μB per atom) = 0.0000
- ρ (kg/m³) = 7593


# 4
Below is a geometry-optimized Mg2TlH6 structure, with properties calculated at the GGA-PBE level.

abc: 5.0451 5.0451 5.0451
angles: 60.00 60.00 60.00
Closest atoms and distances in Å follow each position.
Positions (direct):
Mg1 0.2500 0.2500 0.2500  12 H 2.54
Mg2 0.7500 0.7500 0.7500  12 H 2.54
Tl1 0.0000 0.0000 0.0000  6 H 2.07
H1 0.2906 0.2906 0.7094  1 Tl 2.07, 4 H 2.11
H2 0.2906 0.7094 0.2906  1 Tl 2.07, 4 H 2.11
H3 0.2906 0.7094 0.7094  1 Tl 2.07, 4 H 2.11
H4 0.7094 0.2906 0.2906  1 Tl 2.07, 4 H 2.11
H5 0.7094 0.2906 0.7094  1 Tl 2.07, 4 H 2.11
H6 0.7094 0.7094 0.2906  1 Tl 2.07, 4 H 2.11

Output
- DOS at the Fermi energy (states/eV/cell) = 2.8
- symmetry = Fm-3m, No. 225
- VASP energy (eV/cell) = -20.14
- magnetization (μB per atom) = 0.0000
- ρ (kg/m³) = 4737


# 5
Below is a geometry-optimized PmPrPa structure, with properties calculated at the GGA-PBE level.

abc: 18.6851 3.4642 5.8392
angles: 90.00 90.00 90.00
Closest atoms and distances in Å follow each position.
Positions (direct):
Pm1 0.0894 0.2500 0.0000  4 Pa 3.44, 4 Pm 3.46-3.76
Pm2 0.4106 0.7500 0.5000  4 Pa 3.44, 4 Pm 3.46-3.76
Pm3 0.5894 0.2500 0.5000  4 Pa 3.44, 4 Pm 3.46-3.76
Pm4 0.9106 0.7500 0.0000  4 Pa 3.44, 4 Pm 3.46-3.76
Pr1 0.2253 0.2500 0.4991  6 Pr 3.46-3.52, 2 Pa 3.53, 4 Pm 3.87
Pr2 0.2747 0.7500 0.9991  6 Pr 3.46-3.52, 2 Pa 3.53, 4 Pm 3.87
Pr3 0.7253 0.2500 0.0009  6 Pr 3.46-3.52, 2 Pa 3.53, 4 Pm 3.87
Pr4 0.7747 0.7500 0.5009  6 Pr 3.46-3.52, 2 Pa 3.53, 4 Pm 3.87
Pa1 0.0604 0.7500 0.5001  2 Pa 2.85
Pa2 0.4396 0.2500 0.0001  2 Pa 2.85
Pa3 0.5604 0.7500 0.9999  2 Pa 2.85
Pa4 0.9396 0.2500 0.4999  2 Pa 2.85

Output
- DOS at the Fermi energy (states/eV/cell) = 20.9
- symmetry = Pnma, No. 62
- VASP energy (eV/cell) = -73.67
- magnetization (μB per atom) = 0.0000
- ρ (kg/m³) = 9084


# 6
Below is a geometry-optimized Cs3BiPb structure, with properties calculated at the GGA-PBE level.

abc: 7.1747 7.1747 12.3070
angles: 90.00 90.00 126.80
Closest atoms and distances in Å follow each position.
Positions (direct):
Cs1 0.0939 0.9061 0.7500  3 Pb 3.97-4.08, 4 Cs 4.19
Cs2 0.1868 0.8132 0.0762  5 Cs 4.06-4.28, 2 Pb 4.06, 3 Bi 4.12-4.13
Cs3 0.1868 0.8132 0.4238  5 Cs 4.06-4.28, 2 Pb 4.06, 3 Bi 4.12-4.13
Cs4 0.8132 0.1868 0.5762  5 Cs 4.06-4.28, 2 Pb 4.06, 3 Bi 4.12-4.13
Cs5 0.8132 0.1868 0.9238  5 Cs 4.06-4.28, 2 Pb 4.06, 3 Bi 4.12-4.13
Cs6 0.9061 0.0939 0.2500  3 Pb 3.97-4.08, 4 Cs 4.19
Bi1 0.5000 0.5000 0.0000  2 Pb 3.28
Bi2 0.5000 0.5000 0.5000  2 Pb 3.28
Pb1 0.4120 0.5880 0.7500  2 Bi 3.28
Pb2 0.5880 0.4120 0.2500  2 Bi 3.28

Output
- DOS at the Fermi energy (states/eV/cell) = 7.6
- symmetry = Cmcm, No. 63
- VASP energy (eV/cell) = -22.23
- magnetization (μB per atom) = 0.0000
- ρ (kg/m³) = 5335


# 7
Below is a geometry-optimized Pr4Mg5Ge6 structure, with properties calculated at the GGA-PBE level.

abc: 10.2849 10.2849 16.0422
angles: 90.00 90.00 154.81
Closest atoms and distances in Å follow each position.
Positions (direct):
Pr1 0.0137 0.9863 0.5000  7 Ge 3.17-3.39, 1 Mg 3.45
Pr2 0.0341 0.9659 0.2367  6 Ge 3.19-3.24, 5 Mg 3.27-3.39
Pr3 0.1641 0.8359 0.6989  6 Ge 3.08-3.23
Pr4 0.1753 0.8247 0.0587  6 Ge 3.05-3.18
Pr5 0.8247 0.1753 0.5587  6 Ge 3.05-3.18
Pr6 0.8359 0.1641 0.1989  6 Ge 3.08-3.23
Pr7 0.9659 0.0341 0.7367  6 Ge 3.19-3.24, 5 Mg 3.27-3.39
Pr8 0.9863 0.0137 0.0000  7 Ge 3.17-3.39, 1 Mg 3.45
Mg1 0.1552 0.8448 0.3779  4 Ge 2.72-2.79, 1 Mg 2.97
Mg2 0.3029 0.6971 0.3813  4 Ge 2.73-2.80, 2 Mg 2.91-2.97
Mg3 0.3395 0.6605 0.7337  4 Ge 2.67-2.86
Mg4 0.3500 0.6500 0.0221  4 Ge 2.71-2.84
Mg5 0.4421 0.5579 0.3309  4 Ge 2.64-2.90, 1 Mg 2.91
Mg6 0.5579 0.4421 0.8309  4 Ge 2.64-2.90, 1 Mg 2.91
Mg7 0.6500 0.3500 0.5221  4 Ge 2.71-2.84
Mg8 0.6605 0.3395 0.2337  4 Ge 2.67-2.86
Mg9 0.6971 0.3029 0.8813  4 Ge 2.73-2.80, 2 Mg 2.91-2.97
Mg10 0.8448 0.1552 0.8779  4 Ge 2.72-2.79, 1 Mg 2.97
Ge1 0.1137 0.8863 0.8829  4 Mg 2.64-2.80
Ge2 0.2256 0.7744 0.5227  4 Mg 2.71-2.75
Ge3 0.2326 0.7674 0.2357  4 Mg 2.67-2.76
Ge4 0.4274 0.5726 0.8740  5 Mg 2.71-2.86
Ge5 0.4326 0.5674 0.5989  1 Ge 2.59, 1 Mg 2.86
Ge6 0.4450 0.5550 0.1501  1 Ge 2.59, 1 Mg 2.80
Ge7 0.5550 0.4450 0.6501  1 Ge 2.59, 1 Mg 2.80
Ge8 0.5674 0.4326 0.0989  1 Ge 2.59, 1 Mg 2.86
Ge9 0.5726 0.4274 0.3740  5 Mg 2.71-2.86
Ge10 0.7674 0.2326 0.7357  4 Mg 2.67-2.76
Ge11 0.7744 0.2256 0.0227  4 Mg 2.71-2.75
Ge12 0.8863 0.1137 0.3829  4 Mg 2.64-2.80

Output
- DOS at the Fermi energy (states/eV/cell) = 2.7
- symmetry = Cmc2_1, No. 36
- VASP energy (eV/cell) = -128.07
- magnetization (μB per atom) = 0.0000
- ρ (kg/m³) = 5155


# 8
Below is a geometry-optimized AcPr2NdY structure, with properties calculated at the GGA-PBE level.

abc: 7.4563 7.4563 7.5186
angles: 90.00 90.00 111.69
Closest atoms and distances in Å follow each position.
Positions (direct):
Ac1 0.2422 0.7578 0.7500  1 Nd 3.71, 2 Y 3.84, 4 Pr 4.05
Ac2 0.7578 0.2422 0.2500  1 Nd 3.71, 2 Y 3.84, 4 Pr 4.05
Pr1 0.3022 0.3022 0.0000  2 Nd 3.23, 1 Pr 3.31, 2 Y 3.47
Pr2 0.3022 0.3022 0.5000  2 Nd 3.23, 1 Pr 3.31, 2 Y 3.47
Pr3 0.6978 0.6978 0.0000  2 Nd 3.23, 1 Pr 3.31, 2 Y 3.47
Pr4 0.6978 0.6978 0.5000  2 Nd 3.23, 1 Pr 3.31, 2 Y 3.47
Nd1 0.0584 0.9416 0.2500  1 Y 3.05, 4 Pr 3.23
Nd2 0.9416 0.0584 0.7500  1 Y 3.05, 4 Pr 3.23
Y1 0.3058 0.6942 0.2500  1 Nd 3.05
Y2 0.6942 0.3058 0.7500  1 Nd 3.05

Output
- DOS at the Fermi energy (states/eV/cell) = 13.9
- symmetry = Cmcm, No. 63
- VASP energy (eV/cell) = -46.41
- magnetization (μB per atom) = 0.0000
- ρ (kg/m³) = 6344


# 9
Below is a geometry-optimized V11Ir4Rh9 structure, with properties calculated at the GGA-PBE level.

abc: 11.6998 11.6998 2.7949
angles: 90.00 90.00 117.98
Closest atoms and distances in Å follow each position.
Positions (direct):
V1 0.0000 0.0000 0.0000  8 Rh 2.51, 2 V 2.79
V2 0.0349 0.3873 0.0000  3 V 2.55-2.79, 6 Rh 2.57-2.76, 2 Ir 2.59
V3 0.1725 0.8275 0.0000  4 V 2.55-2.79, 8 Rh 2.74-2.78
V4 0.2752 0.2752 0.0000  4 Ir 2.53, 2 V 2.79, 4 Rh 2.80
V5 0.3649 0.6351 0.0000  4 Ir 2.51, 4 Rh 2.78, 2 V 2.79
V6 0.3873 0.0349 0.0000  3 V 2.55-2.79, 6 Rh 2.57-2.76, 2 Ir 2.59
V7 0.6127 0.9651 0.0000  3 V 2.55-2.79, 6 Rh 2.57-2.76, 2 Ir 2.59
V8 0.6351 0.3649 0.0000  4 Ir 2.51, 4 Rh 2.78, 2 V 2.79
V9 0.7248 0.7248 0.0000  4 Ir 2.53, 2 V 2.79, 4 Rh 2.80
V10 0.8275 0.1725 0.0000  4 V 2.55-2.79, 8 Rh 2.74-2.78
V11 0.9651 0.6127 0.0000  3 V 2.55-2.79, 6 Rh 2.57-2.76, 2 Ir 2.59
Ir1 0.2395 0.4360 0.5000  6 V 2.51-2.59, 3 Rh 2.69-2.78, 2 Ir 2.79
Ir2 0.4360 0.2395 0.5000  6 V 2.51-2.59, 3 Rh 2.69-2.78, 2 Ir 2.79
Ir3 0.5640 0.7605 0.5000  6 V 2.51-2.59, 3 Rh 2.69-2.78, 2 Ir 2.79
Ir4 0.7605 0.5640 0.5000  6 V 2.51-2.59, 3 Rh 2.69-2.78, 2 Ir 2.79
Rh1 0.0420 0.1941 0.5000  8 V 2.51-2.80, 1 Ir 2.69, 2 Rh 2.79
Rh2 0.1519 0.6174 0.5000  8 V 2.57-2.78, 1 Ir 2.76, 3 Rh 2.78-2.79
Rh3 0.1941 0.0420 0.5000  8 V 2.51-2.80, 1 Ir 2.69, 2 Rh 2.79
Rh4 0.3826 0.8481 0.5000  8 V 2.57-2.78, 1 Ir 2.76, 3 Rh 2.78-2.79
Rh5 0.5000 0.5000 0.5000  4 Ir 2.78, 2 Rh 2.79, 8 V 3.05
Rh6 0.6174 0.1519 0.5000  8 V 2.57-2.78, 1 Ir 2.76, 3 Rh 2.78-2.79
Rh7 0.8059 0.9580 0.5000  8 V 2.51-2.80, 1 Ir 2.69, 2 Rh 2.79
Rh8 0.8481 0.3826 0.5000  8 V 2.57-2.78, 1 Ir 2.76, 3 Rh 2.78-2.79
Rh9 0.9580 0.8059 0.5000  8 V 2.51-2.80, 1 Ir 2.69, 2 Rh 2.79

Output
- DOS at the Fermi energy (states/eV/cell) = 19.9
- symmetry = Cmmm, No. 65
- VASP energy (eV/cell) = -210.91
- magnetization (μB per atom) = 0.0000
- ρ (kg/m³) = 11085


# 10
Below is a geometry-optimized LaNd2Ho2 structure, with properties calculated at the GGA-PBE level.

abc: 9.4676 9.4676 9.4676
angles: 143.83 135.70 58.47
Closest atoms and distances in Å follow each position.
Positions (direct):
La1 0.3608 0.1108 0.2500  5 Ho 3.47-3.73, 6 Nd 3.70-3.75
La2 0.6392 0.8892 0.7500  5 Ho 3.47-3.73, 6 Nd 3.70-3.75
Nd1 0.1873 0.6907 0.4966  4 Nd 3.52-3.62, 5 Ho 3.60-3.66, 3 La 3.70-3.75
Nd2 0.3059 0.3093 0.9966  4 Nd 3.52-3.62, 5 Ho 3.60-3.66, 3 La 3.70-3.75
Nd3 0.6941 0.6907 0.0034  4 Nd 3.52-3.62, 5 Ho 3.60-3.66, 3 La 3.70-3.75
Nd4 0.8127 0.3093 0.5034  4 Nd 3.52-3.62, 5 Ho 3.60-3.66, 3 La 3.70-3.75
Ho1 0.1348 0.8848 0.2500  2 Ho 3.50, 3 La 3.57-3.73, 6 Nd 3.65-3.66
Ho2 0.2494 0.4994 0.7500  2 La 3.47, 4 Ho 3.50-3.57, 4 Nd 3.60-3.64
Ho3 0.7506 0.5006 0.2500  2 La 3.47, 4 Ho 3.50-3.57, 4 Nd 3.60-3.64
Ho4 0.8652 0.1152 0.7500  2 Ho 3.50, 3 La 3.57-3.73, 6 Nd 3.65-3.66

Output
- DOS at the Fermi energy (states/eV/cell) = 16.8
- symmetry = Imma, No. 74
- VASP energy (eV/cell) = -45.92
- magnetization (μB per atom) = 0.0003
- ρ (kg/m³) = 7253


# 11
Below is a geometry-optimized Pr4SbRh2 structure, with properties calculated at the GGA-PBE level.

abc: 8.0133 8.0133 9.3765
angles: 125.48 125.48 68.99
Closest atoms and distances in Å follow each position.
Positions (direct):
Pr1 0.0618 0.0618 0.3827  2 Rh 2.80-3.04
Pr2 0.3447 0.5301 0.7587  2 Rh 2.79-3.05
Pr3 0.4699 0.6553 0.2413  2 Rh 2.79-3.05
Pr4 0.4775 0.1656 0.2612  2 Rh 2.80-3.04
Pr5 0.5694 0.0719 0.8846  2 Rh 2.80-3.05
Pr6 0.8344 0.5225 0.7388  2 Rh 2.80-3.04
Pr7 0.9281 0.4306 0.1154  2 Rh 2.80-3.05
Pr8 0.9382 0.9382 0.6173  2 Rh 2.80-3.04
Sb1 0.0775 0.9225 0.0000  8 Pr 3.15-3.48
Sb2 0.3274 0.6726 0.5000  8 Pr 3.15-3.47
Rh1 0.2017 0.2980 0.8524  4 Pr 2.80-3.05
Rh2 0.6011 0.1944 0.6484  4 Pr 2.79-3.05
Rh3 0.7020 0.7983 0.1476  4 Pr 2.80-3.05
Rh4 0.8056 0.3989 0.3516  4 Pr 2.79-3.05

Output
- ΔE_f (raw) (meV per atom) = -643
- DOS at the Fermi energy (states/eV/cell) = 11.5
- symmetry = C2, No. 5
- VASP energy (eV/cell) = -84.89
- magnetization (μB per atom) = 0.0000
- ρ (kg/m³) = 7418


# 12
Below is a geometry-optimized Li2PrSn2Au2 structure, with properties calculated at the GGA-PBE level.

abc: 8.5690 8.5690 8.5690
angles: 31.38 31.38 31.38
Closest atoms and distances in Å follow each position.
Positions (direct):
Li1 0.1401 0.1401 0.1401  3 Au 2.82, 4 Sn 2.85-3.10, 3 Li 2.97
Li2 0.8599 0.8599 0.8599  3 Au 2.82, 4 Sn 2.85-3.10, 3 Li 2.97
Pr1 0.0000 0.0000 0.0000  6 Sn 3.26, 2 Li 3.42
Sn1 0.2570 0.2570 0.2570  3 Au 2.76, 1 Li 2.85
Sn2 0.7430 0.7430 0.7430  3 Au 2.76, 1 Li 2.85
Au1 0.4374 0.4374 0.4374  3 Sn 2.76, 3 Li 2.82, 1 Au 3.06
Au2 0.5626 0.5626 0.5626  3 Sn 2.76, 3 Li 2.82, 1 Au 3.06

Output
- DOS at the Fermi energy (states/eV/cell) = 2.9
- symmetry = R-3m, No. 166
- VASP energy (eV/cell) = -27.20
- magnetization (μB per atom) = 0.0000
- ρ (kg/m³) = 8620